The following is a PBE calculation of a geometry-optimized Al2SiSb structure, from Alexandria via LeMat-Bulk.

The structure belongs to space group Imm2 (No. 44); the cell edges are 3.693, 3.795 and 11.464 Å and the angles 90.00°, 90.00° and 90.00°. The inequivalent atoms are Al at (0.000, 0.000, 0.000), Al at (0.000, 0.500, 0.189), Si at (0.000, 0.000, 0.526) and Sb at (0.000, 0.500, 0.804).

As for the energy above the most stable polymorph in this dataset: 7.4 kJ/mol of atoms. The electronic total energy is -32.42 eV for the cell shown. The density of states at the Fermi level comes out at 0.30 states/eV per atom.

=====

The following is a PBE calculation of a geometry-optimized Al4SiSb structure, from Alexandria via LeMat-Bulk.

The structure belongs to space group F-43m (No. 216); the cell edges are 7.677, 7.677 and 7.677 Å and the angles 90.00°, 90.00° and 90.00°. The inequivalent atoms are Al at (0.124, 0.124, 0.124), Si at (0.250, 0.250, 0.750) and Sb at (0.000, 0.000, 0.500).

The electronic total energy is -90.66 eV for the cell shown. The density of states at the Fermi level comes out at 0.22 states/eV per atom.

=====

The following is a PBE calculation of a geometry-optimized Al2SiSb structure, from Alexandria via LeMat-Bulk.

The structure belongs to space group Fm-3m (No. 225); the cell edges are 6.774, 6.774 and 6.774 Å and the angles 90.00°, 90.00° and 90.00°. The inequivalent atoms are Al at (0.250, 0.250, 0.250), Si at (0.000, 0.000, 0.000) and Sb at (0.000, 0.000, 0.500).

As for the energy above the most stable polymorph in this dataset: 20.3 kJ/mol of atoms. The electronic total energy is -62.70 eV for the cell shown. The density of states at the Fermi level comes out at 0.42 states/eV per atom.

=====

The following is a PBE calculation of a geometry-optimized AlSi2Sb structure, from Alexandria via LeMat-Bulk.

The structure belongs to space group Fm-3m (No. 225); the cell edges are 6.697, 6.697 and 6.697 Å and the angles 90.00°, 90.00° and 90.00°. The inequivalent atoms are Al at (0.000, 0.000, 0.000), Si at (0.250, 0.250, 0.250) and Sb at (0.000, 0.000, 0.500).

As for the energy above the most stable polymorph in this dataset: 33.2 kJ/mol of atoms. The electronic total energy is -66.82 eV for the cell shown. The density of states at the Fermi level comes out at 0.61 states/eV per atom.

=====

The following is a PBE calculation of a geometry-optimized AlSi2Sb structure, from Alexandria via LeMat-Bulk.

The structure belongs to space group R-3m (No. 166, hexagonal axes); the cell edges are 3.1970, 3.1970 and 26.0294 Å and the angles 90.00°, 90.00° and 120.00°. The inequivalent atoms are Al at (0.0000, 0.0000, 0.0000), Si at (0.0000, 0.0000, 0.2608) and Sb at (0.0000, 0.0000, 0.5000).

As for the energy above the most stable polymorph in this dataset: 27.1 kJ/mol of atoms. The electronic total energy is -50.87 eV for the cell shown. The density of states at the Fermi level comes out at 0.34 states/eV per atom.

=====

The following is a PBE calculation of a geometry-optimized AlSi2Sb structure, from Alexandria via LeMat-Bulk.

The structure belongs to space group P4/mmm (No. 123); the cell edges are 3.539, 3.539 and 5.996 Å and the angles 90.00°, 90.00° and 90.00°. The inequivalent atoms are Al at (0.000, 0.000, 0.000), Si at (0.500, 0.500, 0.203) and Sb at (0.000, 0.000, 0.500).

As for the energy above the most stable polymorph in this dataset: 22.0 kJ/mol of atoms. The electronic total energy is -17.17 eV for the cell shown. The density of states at the Fermi level comes out at 0.66 states/eV per atom.

=====

The following is a PBE calculation of a geometry-optimized AlSi3Sb structure, from Alexandria via LeMat-Bulk.

The structure belongs to space group Pm-3m (No. 221); the cell edges are 4.793, 4.793 and 4.793 Å and the angles 90.00°, 90.00° and 90.00°. The inequivalent atoms are Al at (0.000, 0.000, 0.000), Si at (0.000, 0.000, 0.500) and Sb at (0.500, 0.500, 0.500).

As for the energy above the most stable polymorph in this dataset: 0.0 kJ/mol of atoms. The electronic total energy is -20.11 eV for the cell shown. The density of states at the Fermi level comes out at 0.49 states/eV per atom.

=====

The following is a PBE calculation of a geometry-optimized AlSi2Sb structure, from Alexandria via LeMat-Bulk.

The structure belongs to space group Cm (No. 8); the cell edges are 6.393, 3.721 and 7.076 Å and the angles 90.00°, 107.94° and 90.00°. The inequivalent atoms are Al at (0.000, 0.000, 0.000), Si at (0.244, 0.500, 0.234), Si at (0.469, 0.000, 0.410) and Sb at (0.234, 0.000, 0.704).

As for the energy above the most stable polymorph in this dataset: 8.3 kJ/mol of atoms. The electronic total energy is -35.47 eV for the cell shown. The density of states at the Fermi level comes out at 0.34 states/eV per atom.

=====

The following is a PBE calculation of a geometry-optimized Al2SiSb structure, from Alexandria via LeMat-Bulk.

The structure belongs to space group Pmmm (No. 47); the cell edges are 2.984, 3.572 and 7.420 Å and the angles 90.00°, 90.00° and 90.00°. The inequivalent atoms are Al at (0.000, 0.000, 0.189), Si at (0.500, 0.500, 0.000) and Sb at (0.000, 0.500, 0.500).

As for the energy above the most stable polymorph in this dataset: 3.0 kJ/mol of atoms. The electronic total energy is -16.39 eV for the cell shown. The density of states at the Fermi level comes out at 0.51 states/eV per atom.

=====

The following is a PBE calculation of a geometry-optimized Al2SiSb structure, from Alexandria via LeMat-Bulk.

The structure belongs to space group Cmm2 (No. 35); the cell edges are 4.121, 4.299 and 8.815 Å and the angles 90.00°, 90.00° and 90.00°. The inequivalent atoms are Al at (0.000, 0.000, 0.000), Al at (0.000, 0.500, 0.219), Si at (0.000, 0.500, 0.800) and Sb at (0.000, 0.000, 0.496).

As for the energy above the most stable polymorph in this dataset: 14.5 kJ/mol of atoms. The electronic total energy is -31.83 eV for the cell shown. The density of states at the Fermi level comes out at 0.47 states/eV per atom.

=====

The following is a PBE calculation of a geometry-optimized AlSi2Sb structure, from Alexandria via LeMat-Bulk.

The structure belongs to space group Pmmm (No. 47); the cell edges are 3.597, 4.495 and 4.674 Å and the angles 90.00°, 90.00° and 90.00°. The inequivalent atoms are Al at (0.000, 0.000, 0.000), Si at (0.000, 0.500, 0.500), Si at (0.500, 0.500, 0.000) and Sb at (0.500, 0.000, 0.500).

As for the energy above the most stable polymorph in this dataset: 31.7 kJ/mol of atoms. The electronic total energy is -16.76 eV for the cell shown. The density of states at the Fermi level comes out at 0.46 states/eV per atom.

=====

The following is a PBE calculation of a geometry-optimized AlSi2Sb structure, from Alexandria via LeMat-Bulk.

The structure belongs to space group Immm (No. 71); the cell edges are 3.591, 4.736 and 8.865 Å and the angles 90.00°, 90.00° and 90.00°. The inequivalent atoms are Al at (0.000, 0.000, 0.000), Si at (0.000, 0.500, 0.265) and Sb at (0.000, 0.000, 0.500).

As for the energy above the most stable polymorph in this dataset: 29.5 kJ/mol of atoms. The electronic total energy is -33.71 eV for the cell shown. The density of states at the Fermi level comes out at 0.33 states/eV per atom.

=====

The following is a PBE calculation of a geometry-optimized AlSi2Sb structure, from Alexandria via LeMat-Bulk.

The structure belongs to space group I-42d (No. 122); the cell edges are 5.892, 5.892 and 11.836 Å and the angles 90.00°, 90.00° and 90.00°. The inequivalent atoms are Al at (0.000, 0.000, 0.000), Si at (0.228, 0.250, 0.125) and Sb at (0.000, 0.000, 0.500).

As for the energy above the most stable polymorph in this dataset: 0.0 kJ/mol of atoms. The electronic total energy is -72.31 eV for the cell shown. The density of states at the Fermi level comes out at 0.00 states/eV per atom.

=====

The following is a PBE calculation of a geometry-optimized Al3SiSb structure, from Alexandria via LeMat-Bulk.

The structure belongs to space group Pm-3m (No. 221); the cell edges are 4.830, 4.830 and 4.830 Å and the angles 90.00°, 90.00° and 90.00°. The inequivalent atoms are Al at (0.000, 0.000, 0.500), Si at (0.000, 0.000, 0.000) and Sb at (0.500, 0.500, 0.500).

As for the energy above the most stable polymorph in this dataset: 0.0 kJ/mol of atoms. The electronic total energy is -18.92 eV for the cell shown. The density of states at the Fermi level comes out at 0.25 states/eV per atom.

=====

The following is a PBE calculation of a geometry-optimized AlSi2Sb structure, from Alexandria via LeMat-Bulk.

The structure belongs to space group Imm2 (No. 44); the cell edges are 3.471, 4.732 and 9.169 Å and the angles 90.00°, 90.00° and 90.00°. The inequivalent atoms are Al at (0.000, 0.000, 0.000), Si at (0.000, 0.000, 0.553), Si at (0.000, 0.500, 0.244) and Sb at (0.000, 0.500, 0.790).

As for the energy above the most stable polymorph in this dataset: 23.7 kJ/mol of atoms. The electronic total energy is -34.19 eV for the cell shown. The density of states at the Fermi level comes out at 0.41 states/eV per atom.

=====

The following is a PBE calculation of a geometry-optimized AlSi2Sb structure, from Alexandria via LeMat-Bulk.

The structure belongs to space group C2/m (No. 12); the cell edges are 6.848, 3.829 and 6.565 Å and the angles 90.00°, 109.73° and 90.00°. The inequivalent atoms are Al at (0.000, 0.000, 0.000), Si at (0.241, 0.500, 0.222) and Sb at (0.000, 0.500, 0.500).

As for the energy above the most stable polymorph in this dataset: 15.7 kJ/mol of atoms. The electronic total energy is -34.86 eV for the cell shown. The density of states at the Fermi level comes out at 0.51 states/eV per atom.

=====

The following is a PBE calculation of a geometry-optimized AlSi2Sb structure, from Alexandria via LeMat-Bulk.

The structure belongs to space group Cmmm (No. 65); the cell edges are 5.361, 5.851 and 4.953 Å and the angles 90.00°, 90.00° and 90.00°. The inequivalent atoms are Al at (0.000, 0.000, 0.000), Si at (0.000, 0.213, 0.500) and Sb at (0.000, 0.500, 0.000).

As for the energy above the most stable polymorph in this dataset: 12.7 kJ/mol of atoms. The electronic total energy is -35.10 eV for the cell shown. The density of states at the Fermi level comes out at 0.39 states/eV per atom.

=====

The following is a PBE calculation of a geometry-optimized AlSiSb4 structure, from Alexandria via LeMat-Bulk.

The structure belongs to space group F-43m (No. 216); the cell edges are 8.746, 8.746 and 8.746 Å and the angles 90.00°, 90.00° and 90.00°. The inequivalent atoms are Al at (0.000, 0.000, 0.000), Si at (0.250, 0.250, 0.250) and Sb at (0.125, 0.125, 0.625).

The electronic total energy is -86.79 eV for the cell shown. The density of states at the Fermi level comes out at 0.46 states/eV per atom.

=====

The following is a PBE calculation of a geometry-optimized Al2SiSb structure, from Alexandria via LeMat-Bulk.

The structure belongs to space group C2/m (No. 12); the cell edges are 5.925, 7.102 and 3.685 Å and the angles 90.00°, 90.17° and 90.00°. The inequivalent atoms are Al at (0.250, 0.250, 0.000), Si at (0.000, 0.000, 0.500) and Sb at (0.000, 0.500, 0.500).

As for the energy above the most stable polymorph in this dataset: 17.1 kJ/mol of atoms. The electronic total energy is -31.61 eV for the cell shown. The density of states at the Fermi level comes out at 0.41 states/eV per atom.

=====

The following is a PBE calculation of a geometry-optimized Al3SiSb structure, from Alexandria via LeMat-Bulk.

The structure belongs to space group Pm-3m (No. 221); the cell edges are 5.214, 5.214 and 5.214 Å and the angles 90.00°, 90.00° and 90.00°. The inequivalent atoms are Al at (0.000, 0.000, 0.500), Si at (0.500, 0.500, 0.500) and Sb at (0.000, 0.000, 0.000).

As for the energy above the most stable polymorph in this dataset: 74.9 kJ/mol of atoms. The electronic total energy is -15.04 eV for the cell shown. The density of states at the Fermi level comes out at 0.82 states/eV per atom.

=====

Number 1: formation energy (no corrections) 205 meV per atom. Number 2: formation energy (no corrections) 308 meV per atom. Number 3: formation energy (no corrections) 339 meV per atom. Number 4: formation energy (no corrections) 502 meV per atom. Number 5: formation energy (no corrections) 439 meV per atom. Number 6: formation energy (no corrections) 386 meV per atom. Number 7: formation energy (no corrections) 805 meV per atom. Number 8: formation energy (no corrections) 244 meV per atom. Number 9: formation energy (no corrections) 159 meV per atom. Number 10: formation energy (no corrections) 279 meV per atom. Number 11: formation energy (no corrections) 487 meV per atom. Number 12: formation energy (no corrections) 464 meV per atom. Number 13: formation energy (no corrections) 158 meV per atom. Number 14: formation energy (no corrections) 370 meV per atom. Number 15: formation energy (no corrections) 404 meV per atom. Number 16: formation energy (no corrections) 321 meV per atom. Number 17: formation energy (no corrections) 290 meV per atom. Number 18: formation energy (no corrections) 660 meV per atom. Number 19: formation energy (no corrections) 306 meV per atom. Number 20: formation energy (no corrections) 1147 meV per atom.